No. 1
# NdMgSn3

A relaxed structure of NdMgSn3 (GGA-PBE, Alexandria via LeMat-Bulk).

Summary:
Crystal system: orthorhombic
Energy relative to the elements: -0.2909 eV/atom
E above lowest polymorph: 0.122 eV/atom
Fermi-level density of states: 0.39 states/eV per atom
Magnetization: 0.00 μB per cell
Space group: Pmmn, No. 59

Cell: 5.0163 6.4700 8.9949 Å, 90.00 90.00 90.00°
Fractional coordinates of all 10 atoms:
Nd  0.2500  0.2500  0.0799
Nd  0.7500  0.7500  0.9201
Mg  0.2500  0.7500  0.4684
Mg  0.7500  0.2500  0.5316
Sn  0.2500  0.0139  0.7323
Sn  0.2500  0.4861  0.7323
Sn  0.2500  0.7500  0.1483
Sn  0.7500  0.2500  0.8517
Sn  0.7500  0.5139  0.2677
Sn  0.7500  0.9861  0.2677

No. 2
# NdMg2Sn3

A relaxed structure of NdMg2Sn3 (GGA-PBE, Alexandria via LeMat-Bulk).

Summary:
Crystal system: orthorhombic
Energy relative to the elements: -0.1133 eV/atom
E above lowest polymorph: 0.279 eV/atom
Fermi-level density of states: 0.55 states/eV per atom
Magnetization: 0.00 μB per cell
Space group: Cmcm, No. 63

Cell: 7.7613 7.7613 5.9429 Å, 90.00 90.00 89.37°
Fractional coordinates of all 12 atoms:
Nd  0.1718  0.8282  0.7500
Nd  0.8282  0.1718  0.2500
Mg  0.3401  0.3401  0.0000
Mg  0.3401  0.3401  0.5000
Mg  0.6599  0.6599  0.0000
Mg  0.6599  0.6599  0.5000
Sn  0.0307  0.2527  0.7500
Sn  0.2527  0.0307  0.2500
Sn  0.3402  0.6598  0.2500
Sn  0.6598  0.3402  0.7500
Sn  0.7473  0.9693  0.7500
Sn  0.9693  0.7473  0.2500

Question: Number 2 is which compound?
Answer: NdMg2Sn3

Question: Among the records above, which one has the lowest Fermi-level density of states?
Answer: NdMgSn3

Question: Among the records above, which one has the highest energy relative to the elements?
Answer: NdMg2Sn3